No. 1
A plane-wave DFT calculation with PBEsol was carried out for MgBe2Ru after structural relaxation.

Results
Its energy of formation from the pure elements is 0.09 eV per atom. The value obtained for the size of the total moment is 0.000 μB per atom. The density of states at the Fermi level comes out at 2.7 states/eV/f.u.

abc: 2.8705 2.8705 5.9727
angles: 90.00 90.00 90.00
Closest atoms and distances in Å follow each position.
Sites, in units of the cell vectors:
Ru: 0.5000 0.5000 0.8103  5 Be 2.24-2.33
Mg: 0.0000 0.0000 0.5028  4 Ru 2.74, 6 Be 2.78-2.99, 4 Mg 2.87
Be: 0.5000 0.5000 0.1849  1 Ru 2.24, 4 Be 2.31
Be: 0.0000 0.0000 0.0020  4 Be 2.31, 4 Ru 2.33

***

No. 2
A plane-wave DFT calculation with PBEsol was carried out for SmTlO2 after structural relaxation.

Results
The value obtained for the size of the total moment is 0.000 μB per atom. The density of states at the Fermi level comes out at 0.0 states/eV/f.u. The formation energy (no corrections) comes out at -2.2818 eV/atom.

abc: 3.5561 3.5561 12.6935
angles: 90.00 90.00 120.00
Closest atoms and distances in Å follow each position.
Sites, in units of the cell vectors:
Sm: 0.0000 0.0000 0.0000  6 O 2.35
Tl: 0.6667 0.3333 0.2500  6 O 2.89
Sm: 0.0000 0.0000 0.5000  6 O 2.35
O: 0.3333 0.6667 0.0894  3 Sm 2.35
O: 0.6667 0.3333 0.9106  3 Sm 2.35
O: 0.3333 0.6667 0.4106  3 Sm 2.35
Tl: 0.3333 0.6667 0.7500  6 O 2.89
O: 0.6667 0.3333 0.5894  3 Sm 2.35

***

No. 3
A plane-wave DFT calculation with PBEsol was carried out for FeAgIr2 after structural relaxation.

Results
Its energy of formation from the pure elements is 0.35 eV per atom. The value obtained for the size of the total moment is 0.694 μB per atom. The density of states at the Fermi level comes out at 5.0 states/eV/f.u.

abc: 3.8439 3.8439 4.6542
angles: 114.39 114.39 90.00
Closest atoms and distances in Å follow each position.
Sites, in units of the cell vectors:
Fe: 0.0000 0.0000 0.0000  8 Ir 2.69, 4 Ag 2.72
Ir: 0.2500 0.7500 0.5000  4 Fe 2.69, 4 Ag 2.69, 4 Ir 2.72
Ir: 0.7500 0.2500 0.5000  4 Fe 2.69, 4 Ag 2.69, 4 Ir 2.72
Ag: 0.5000 0.5000 0.0000  8 Ir 2.69, 4 Fe 2.72

***

No. 4
A plane-wave DFT calculation with PBEsol was carried out for Ta3W5 after structural relaxation.

Results
Its energy of formation from the pure elements is -0.09 eV per atom. The value obtained for the size of the total moment is 0.000 μB per atom. The density of states at the Fermi level comes out at 3.4 states/eV/f.u.

abc: 6.3835 6.3824 6.3835
angles: 90.00 89.98 90.00
Closest atoms and distances in Å follow each position.
Sites, in units of the cell vectors:
W: 0.2500 0.7523 0.7499  4 W 2.75-2.77, 4 Ta 2.76-2.77
Ta: 0.4977 0.5000 0.0028  6 W 2.75-2.77, 2 Ta 2.79
W: 0.2500 0.2477 0.7499  4 W 2.75-2.77, 4 Ta 2.76-2.77
Ta: 0.7500 0.7528 0.7500  4 W 2.77-2.79, 4 Ta 2.78-2.80
W: 0.4982 0.5000 0.4982  6 W 2.76-2.77, 2 Ta 2.79
W: 0.0021 0.0000 0.0021  6 W 2.74-2.76, 2 Ta 2.77
Ta: 0.0028 0.5000 0.4977  6 W 2.75-2.77, 2 Ta 2.79
W: 0.4973 0.0000 0.0021  6 W 2.74-2.76, 2 Ta 2.77
W: 0.0021 0.0000 0.4973  6 W 2.74-2.76, 2 Ta 2.77
Ta: 0.4967 0.0000 0.4967  6 W 2.73-2.76, 2 Ta 2.78
W: 0.7499 0.2477 0.2500  4 W 2.75-2.77, 4 Ta 2.76-2.77
Ta: 0.0031 0.5000 0.0031  6 W 2.75-2.77, 2 Ta 2.80
Ta: 0.7500 0.2472 0.7500  4 W 2.77-2.79, 4 Ta 2.78-2.80
W: 0.7499 0.7523 0.2500  4 W 2.75-2.77, 4 Ta 2.76-2.77
W: 0.2500 0.2474 0.2500  4 Ta 2.73-2.75, 4 W 2.74-2.76
W: 0.2500 0.7526 0.2500  4 Ta 2.73-2.75, 4 W 2.74-2.76

***

No. 5
A plane-wave DFT calculation with PBEsol was carried out for Mg2AlCr after structural relaxation.

Results
Its energy of formation from the pure elements is 0.28 eV per atom. The value obtained for the size of the total moment is 0.609 μB per atom. The density of states at the Fermi level comes out at 2.6 states/eV/f.u.

abc: 3.2361 4.4372 5.4526
angles: 114.01 107.26 90.00
Closest atoms and distances in Å follow each position.
Sites, in units of the cell vectors:
Mg: 0.7610 0.7610 0.5220  4 Mg 2.75, 2 Cr 2.77, 2 Al 2.94
Al: 0.0000 0.5000 0.0000  4 Cr 2.75, 4 Mg 2.94
Mg: 0.2390 0.2390 0.4780  4 Mg 2.75, 2 Cr 2.77, 2 Al 2.94
Cr: 0.5000 0.0000 0.0000  4 Al 2.75, 4 Mg 2.77

***

No. 6
A plane-wave DFT calculation with PBEsol was carried out for CoSi2Pb after structural relaxation.

Results
The value obtained for the size of the total moment is 0.000 μB per atom. The density of states at the Fermi level comes out at 2.1 states/eV/f.u. The formation energy (no corrections) comes out at -0.0356 eV/atom.

abc: 3.7702 3.7949 6.1140
angles: 107.73 90.00 119.78
Closest atoms and distances in Å follow each position.
Sites, in units of the cell vectors:
Co: 0.5000 0.0000 0.0000  6 Si 2.28
Pb: 0.0000 0.0000 0.5000  6 Si 3.11-3.12
Si: 0.2042 0.4084 0.1122  3 Co 2.28, 2 Si 2.53
Si: 0.7958 0.5916 0.8878  3 Co 2.28, 2 Si 2.53

***

No. 7
A plane-wave DFT calculation with PBEsol was carried out for Li2CuSi4O10 after structural relaxation.

Results
The value obtained for the size of the total moment is 0.059 μB per atom. The formation energy (no corrections) comes out at -2.3946 eV/atom.

abc: 6.6547 7.5392 9.6627
angles: 104.58 103.45 114.82
Closest atoms and distances in Å follow each position.
Sites, in units of the cell vectors:
O: 0.0502 0.2480 0.5935  1 Si 1.60
O: 0.1137 0.7918 0.6861  1 Si 1.59
O: 0.3104 0.6275 0.8520  2 Si 1.66
O: 0.6160 0.1077 0.7344  2 Si 1.64-1.65
Cu: 0.1797 0.2290 0.4289  4 O 1.93-1.98
O: 0.9160 0.7513 0.1214  2 Si 1.65-1.66
O: 0.1204 0.4836 0.1934  2 Si 1.62-1.63
O: 0.5146 0.7399 0.4621  1 Si 1.60
O: 0.3840 0.8923 0.2656  2 Si 1.64-1.65
O: 0.9498 0.7520 0.4065  1 Si 1.60
O: 0.7821 0.0818 0.0059  2 Si 1.65
O: 0.5281 0.6178 0.1745  2 Si 1.64
O: 0.4719 0.3822 0.8255  2 Si 1.64
O: 0.8863 0.2082 0.3139  1 Si 1.59
Si: 0.1927 0.9378 0.1622  4 O 1.60-1.65
O: 0.6896 0.3725 0.1480  2 Si 1.66
Si: 0.3925 0.6827 0.2819  4 O 1.60-1.65
Si: 0.8073 0.0622 0.8378  4 O 1.60-1.65
O: 0.4854 0.2601 0.5379  1 Si 1.60
O: 0.8796 0.5164 0.8066  2 Si 1.62-1.63
Si: 0.2108 0.3682 0.7748  4 O 1.60-1.66
Li: 0.6655 0.7316 0.9273  4 O 2.02-2.20
Si: 0.6075 0.3173 0.7181  4 O 1.60-1.65
Si: 0.7892 0.6318 0.2252  4 O 1.60-1.66
Li: 0.3345 0.2684 0.0727  4 O 2.02-2.20
Cu: 0.8203 0.7710 0.5711  4 O 1.93-1.98
Si: 0.1246 0.7214 0.8287  4 O 1.59-1.66
O: 0.2474 0.1756 0.2401  1 Si 1.60
Li: 0.2884 0.8228 0.5558  1 O 1.90
O: 0.7526 0.8244 0.7599  1 Si 1.60
Si: 0.8754 0.2786 0.1713  4 O 1.59-1.66
O: 0.0840 0.2487 0.8786  2 Si 1.65-1.66
Li: 0.7116 0.1772 0.4442  1 O 1.90
O: 0.2179 0.9182 0.9941  2 Si 1.65

***

No. 8
A plane-wave DFT calculation with PBEsol was carried out for ZnAgW2 after structural relaxation.

Results
Its energy of formation from the pure elements is 0.45 eV per atom. The value obtained for the size of the total moment is 0.000 μB per atom. The density of states at the Fermi level comes out at 1.1 states/eV/f.u.

abc: 2.6738 4.3446 5.2831
angles: 90.00 96.35 90.00
Closest atoms and distances in Å follow each position.
Sites, in units of the cell vectors:
W: 0.0277 0.0000 0.7580  4 W 2.58-2.71, 2 Zn 2.76, 2 Ag 2.85
Zn: 0.5000 0.5000 0.0000  2 Ag 2.64, 2 Zn 2.67, 8 W 2.76-2.96
Ag: 0.5000 0.5000 0.5000  2 Zn 2.64, 2 Ag 2.67, 8 W 2.85-2.92
W: 0.9723 0.0000 0.2420  4 W 2.58-2.71, 2 Zn 2.76, 2 Ag 2.85

***

No. 9
A plane-wave DFT calculation with PBEsol was carried out for Na3SnAsCO7 after structural relaxation.

Results
The value obtained for the size of the total moment is 0.000 μB per atom. The density of states at the Fermi level comes out at 0.0 states/eV/f.u. The formation energy (no corrections) comes out at -1.5668 eV/atom.

abc: 5.3193 7.1794 9.5812
angles: 90.00 93.91 90.00
Closest atoms and distances in Å follow each position.
Sites, in units of the cell vectors:
As: 0.2717 0.2500 0.6051  4 O 1.70-1.74
O: 0.4878 0.7500 0.8978  1 C 1.30
As: 0.7283 0.7500 0.3949  4 O 1.70-1.74
O: 0.2344 0.7500 0.0768  1 C 1.29
O: 0.9354 0.2500 0.1439  1 C 1.32
Na: 0.7903 0.7500 0.0827  4 O 2.31-2.49
O: 0.0646 0.7500 0.8561  1 C 1.32
O: 0.1597 0.2500 0.4305  1 As 1.74
C: 0.7349 0.2500 0.0552  3 O 1.29-1.32
O: 0.8338 0.5633 0.3024  1 As 1.72
O: 0.7656 0.2500 0.9232  1 C 1.29
O: 0.5918 0.2500 0.6151  1 As 1.70
Sn: 0.7566 0.2500 0.3588  4 O 2.21-2.36
O: 0.8338 0.9367 0.3024  1 As 1.72
C: 0.2651 0.7500 0.9448  3 O 1.29-1.32
Na: 0.7509 0.4997 0.7522  5 O 2.35-2.60
O: 0.8403 0.7500 0.5695  1 As 1.74
O: 0.4082 0.7500 0.3849  1 As 1.70
Sn: 0.2434 0.7500 0.6412  4 O 2.21-2.36
O: 0.1662 0.4367 0.6976  1 As 1.72
O: 0.1662 0.0633 0.6976  1 As 1.72
Na: 0.2491 0.9997 0.2478  5 O 2.35-2.60
O: 0.5122 0.2500 0.1022  1 C 1.30
Na: 0.2491 0.5003 0.2478  5 O 2.35-2.60
Na: 0.7509 0.0003 0.7522  5 O 2.35-2.60
Na: 0.2097 0.2500 0.9173  4 O 2.31-2.49

***

No. 10
A plane-wave DFT calculation with PBEsol was carried out for KCaTlS2 after structural relaxation.

Results
The value obtained for the size of the total moment is 0.000 μB per atom. The density of states at the Fermi level comes out at 1.9 states/eV/f.u. The formation energy (no corrections) comes out at -0.0798 eV/atom.

abc: 5.4216 5.4777 5.4777
angles: 90.00 90.00 90.00
Closest atoms and distances in Å follow each position.
Sites, in units of the cell vectors:
S: 0.0000 0.0000 0.5000  2 Tl 2.74
Tl: 0.0000 0.0000 0.0000  2 Ca 2.71, 4 S 2.74
S: 0.0000 0.5000 0.0000  2 Tl 2.74
K: 0.5000 0.5000 0.5000  8 S 3.85, 4 Ca 3.87
Ca: 0.5000 0.0000 0.0000  2 Tl 2.71

***

No. 11
A plane-wave DFT calculation with PBEsol was carried out for KRb3 after structural relaxation.

Results
Its energy of formation from the pure elements is 0.00 eV per atom. The value obtained for the size of the total moment is 0.000 μB per atom. The density of states at the Fermi level comes out at 3.3 states/eV/f.u.

abc: 7.7314 7.7314 7.7314
angles: 60.00 60.00 60.00
Closest atoms and distances in Å follow each position.
Sites, in units of the cell vectors:
Rb: 0.7500 0.7500 0.7500  4 K 4.73, 4 Rb 4.73
Rb: 0.0000 0.0000 0.0000  8 Rb 4.73
Rb: 0.2500 0.2500 0.2500  4 K 4.73, 4 Rb 4.73
K: 0.5000 0.5000 0.5000  8 Rb 4.73

***

No. 12
A plane-wave DFT calculation with PBEsol was carried out for TiPtPb2S after structural relaxation.

Results
The value obtained for the size of the total moment is 0.000 μB per atom. The density of states at the Fermi level comes out at 3.6 states/eV/f.u. The formation energy (no corrections) comes out at 0.3950 eV/atom.

abc: 4.3696 5.2352 5.2352
angles: 90.00 90.00 90.00
Closest atoms and distances in Å follow each position.
Sites, in units of the cell vectors:
Ti: 0.5000 0.0000 0.0000  2 S 2.18
Pb: 0.0000 0.5000 0.0000  2 S 2.62
Pb: 0.0000 0.0000 0.5000  2 S 2.62
S: 0.0000 0.0000 0.0000  2 Ti 2.18
Pt: 0.5000 0.5000 0.5000  8 Pb 3.41, 4 Ti 3.70